# 1
Here is a relaxed Th2InS crystal from Alexandria. Energies are from PBE.

Crystal system: trigonal
Formation energy from raw total energies (meV/atom): -942
Calculated total energy (eV per cell): -76.42

Lattice parameters (Å, degrees): 3.9365 3.9365 24.9157 90.00 90.00 120.00
Last column: nearest neighbours and their distance in Å.
Space group R-3m (No. 166, hexagonal axes)
Unique sites:
Th  0.0000  0.0000  0.2343 x6  3 S 2.83
In  0.0000  0.0000  0.0000 x3  6 Th 3.36
S  0.0000  0.0000  0.5000 x3  6 Th 2.83

---

# 2
Here is a relaxed SbH crystal from Alexandria. Energies are from PBE.

Crystal system: orthorhombic
Calculated total energy (eV per cell): -42.25
Excess energy over the best structure of this formula in the dataset (eV per atom): 0.187

Lattice parameters (Å, degrees): 9.0498 5.5973 6.1719 90.00 90.00 90.00
Last column: nearest neighbours and their distance in Å.
Space group Pmn2_1 (No. 31)
Unique sites:
Sb  0.0000  0.1715  0.0000 x2  1 H 1.75
Sb  0.2487  0.5112  0.4639 x4  1 H 1.75
H  0.0000  0.1119  0.7223 x2  1 Sb 1.75
H  0.1490  0.7535  0.9705 x4  1 Sb 1.75

---

Respective mass density values: 9.10; 3.91 g cm⁻³.
Respective total magnetization values: 0.000; 0.000 μB/f.u..